# 1
Material: FeHgSe2
Method: DFT, PBE-GGA
State: optimized geometry

Lattice parameters (Å, degrees): 3.7174 3.7174 15.6758 90.00 90.00 90.00
Space group I-4m2 (No. 119)
Inequivalent atoms, fractional coordinates:
Fe (0.0000, 0.0000, 0.0000)
Hg (0.0000, 0.5000, 0.7500)
Se (0.0000, 0.0000, 0.5000)
Se (0.0000, 0.5000, 0.2500)

## Properties
The value obtained for the formation energy without anion corrections is 0.317 eV per atom.

# 2
Material: FeHgSe
Method: DFT, PBE-GGA
State: optimized geometry

Lattice parameters (Å, degrees): 2.9540 2.9540 12.9846 90.00 90.00 90.00
Space group I4mm (No. 107)
Inequivalent atoms, fractional coordinates:
Fe (0.0000, 0.0000, 0.0000)
Hg (0.0000, 0.0000, 0.3401)
Se (0.0000, 0.0000, 0.5908)

## Properties
The value obtained for the formation energy without anion corrections is 0.162 eV per atom. As for the energy relative to the lowest polymorph listed for this composition: 334 meV per atom.

# 3
Material: FeHg4Se
Method: DFT, PBE-GGA
State: optimized geometry

Lattice parameters (Å, degrees): 8.3515 8.3515 8.3515 90.00 90.00 90.00
Space group F-43m (No. 216)
Inequivalent atoms, fractional coordinates:
Fe (0.0000, 0.0000, 0.0000)
Hg (0.1250, 0.1250, 0.6250)
Se (0.2500, 0.2500, 0.2500)

## Properties
The value obtained for the formation energy without anion corrections is 0.673 eV per atom.

# 4
Material: FeHgSe2
Method: DFT, PBE-GGA
State: optimized geometry

Lattice parameters (Å, degrees): 4.1381 4.1381 22.9033 90.00 90.00 120.00
Space group R-3m (No. 166, hexagonal axes)
Inequivalent atoms, fractional coordinates:
Fe (0.0000, 0.0000, 0.0000)
Hg (0.0000, 0.0000, 0.5000)
Se (0.0000, 0.0000, 0.0994)

## Properties
The value obtained for the formation energy without anion corrections is 0.353 eV per atom.

# 5
Material: FeHg2Se
Method: DFT, PBE-GGA
State: optimized geometry

Lattice parameters (Å, degrees): 3.8976 3.8976 12.0311 90.00 90.00 90.00
Space group I4/mmm (No. 139)
Inequivalent atoms, fractional coordinates:
Fe (0.0000, 0.0000, 0.0000)
Hg (0.0000, 0.5000, 0.2500)
Se (0.0000, 0.0000, 0.5000)

## Properties
The value obtained for the formation energy without anion corrections is 0.401 eV per atom.

# 6
Material: FeHg2Se
Method: DFT, PBE-GGA
State: optimized geometry

Lattice parameters (Å, degrees): 5.7142 3.3002 9.4742 90.00 100.98 90.00
Space group Cm (No. 8)
Inequivalent atoms, fractional coordinates:
Fe (0.0000, 0.0000, 0.0000)
Hg (0.0985, 0.5000, 0.7831)
Hg (0.4900, 0.0000, 0.4651)
Se (0.3758, 0.0000, 0.1335)

## Properties
The value obtained for the formation energy without anion corrections is 0.032 eV per atom.

# 7
Material: FeHgSe2
Method: DFT, PBE-GGA
State: optimized geometry

Lattice parameters (Å, degrees): 2.8960 2.8960 9.4172 90.00 90.00 90.00
Space group P4mm (No. 99)
Inequivalent atoms, fractional coordinates:
Fe (0.0000, 0.0000, 0.0000)
Hg (0.5000, 0.5000, 0.2199)
Se (0.0000, 0.0000, 0.5134)
Se (0.5000, 0.5000, 0.8673)

## Properties
The value obtained for the formation energy without anion corrections is 0.177 eV per atom.

# 8
Material: FeHgSe2
Method: DFT, PBE-GGA
State: optimized geometry

Lattice parameters (Å, degrees): 2.9903 3.0146 19.5621 90.00 90.00 90.00
Space group Imm2 (No. 44)
Inequivalent atoms, fractional coordinates:
Fe (0.0000, 0.0000, 0.0000)
Hg (0.0000, 0.5000, 0.7384)
Se (0.0000, 0.0000, 0.5626)
Se (0.0000, 0.5000, 0.4059)

## Properties
The value obtained for the formation energy without anion corrections is -0.046 eV per atom.

# 9
Material: FeHgSe
Method: DFT, PBE-GGA
State: optimized geometry

Lattice parameters (Å, degrees): 3.2750 3.2750 6.3082 90.00 90.00 120.00
Space group P3m1 (No. 156)
Inequivalent atoms, fractional coordinates:
Fe (0.0000, 0.0000, 0.0000)
Hg (0.6667, 0.3333, 0.6797)
Se (0.3333, 0.6667, 0.2017)

## Properties
The value obtained for the formation energy without anion corrections is 0.068 eV per atom. As for the energy relative to the lowest polymorph listed for this composition: 240 meV per atom.

# 10
Material: FeHg2Se
Method: DFT, PBE-GGA
State: optimized geometry

Lattice parameters (Å, degrees): 4.0409 4.3336 9.3900 90.00 90.00 90.00
Space group Cmmm (No. 65)
Inequivalent atoms, fractional coordinates:
Fe (0.0000, 0.0000, 0.0000)
Hg (0.0000, 0.5000, 0.2063)
Se (0.0000, 0.0000, 0.5000)

## Properties
The value obtained for the formation energy without anion corrections is 0.420 eV per atom.

# 11
Material: FeHgSe2
Method: DFT, PBE-GGA
State: optimized geometry

Lattice parameters (Å, degrees): 5.7559 7.6664 3.7062 90.00 90.00 90.00
Space group Cmmm (No. 65)
Inequivalent atoms, fractional coordinates:
Fe (0.0000, 0.0000, 0.0000)
Hg (0.0000, 0.5000, 0.0000)
Se (0.2500, 0.2500, 0.5000)

## Properties
The value obtained for the formation energy without anion corrections is 0.452 eV per atom.

# 12
Material: FeHg2Se
Method: DFT, PBE-GGA
State: optimized geometry

Lattice parameters (Å, degrees): 2.9522 4.0094 14.9237 90.00 90.00 90.00
Space group Immm (No. 71)
Inequivalent atoms, fractional coordinates:
Fe (0.0000, 0.0000, 0.0000)
Hg (0.0000, 0.5000, 0.3211)
Se (0.0000, 0.0000, 0.5000)

## Properties
The value obtained for the formation energy without anion corrections is 0.178 eV per atom.

We obtain E values of -3.62 -3.92 -1.52 -3.58 -2.74 -3.11 -3.76 -3.98 -4.01 -2.72 -3.48 -2.96 eV per atom for the records listed above, in that order.